Record 1
{"formula": "TmCrPt6", "functional": "PBE", "state": "optimized geometry", "m_tot_mub_per_fu": 2.3, "vol_a3_per_cell": 128.8, "mass_density_g_cm3": 17.9, "ef_ev_per_atom": -0.6468, "lattice": [[4.000, 0.000, 0.000], [0.000, 4.000, 0.000], [0.000, 0.000, 8.051]], "species": ["Pt", "Pt", "Pt", "Pt", "Pt", "Pt", "Cr", "Tm"], "frac_coords": [[0.000, 0.500, 0.737], [0.000, 0.500, 0.263], [0.500, 0.000, 0.263], [0.500, 0.500, 0.000], [0.500, 0.000, 0.737], [0.500, 0.500, 0.500], [0.000, 0.000, 0.500], [0.000, 0.000, 0.000]]}

***

Record 2
{"formula": "Tm2CrPt9", "functional": "PBE", "state": "optimized geometry", "m_tot_mub_per_fu": 2.1, "vol_a3_per_cell": 197.2, "mass_density_g_cm3": 18.1, "ef_ev_per_atom": -0.7940, "lattice": [[4.032, 0.000, 0.000], [0.000, 4.032, 0.000], [0.000, 0.000, 12.130]], "species": ["Pt", "Pt", "Pt", "Pt", "Pt", "Pt", "Pt", "Pt", "Pt", "Tm", "Tm", "Cr"], "frac_coords": [[0.000, 0.500, 0.500], [0.500, 0.000, 0.156], [0.000, 0.500, 0.156], [0.500, 0.500, 0.672], [0.500, 0.000, 0.500], [0.500, 0.500, 0.328], [0.000, 0.500, 0.844], [0.500, 0.000, 0.844], [0.500, 0.500, 0.000], [0.000, 0.000, 0.330], [0.000, 0.000, 0.670], [0.000, 0.000, 0.000]]}

***

Record 3
{"formula": "U2CrPt9", "functional": "PBE", "state": "optimized geometry", "m_tot_mub_per_fu": 6.3, "vol_a3_per_cell": 204.5, "mass_density_g_cm3": 18.5, "ef_ev_per_atom": -0.5711, "lattice": [[4.107, 0.000, 0.000], [0.000, 4.107, 0.000], [0.000, 0.000, 12.128]], "species": ["U", "U", "Pt", "Pt", "Pt", "Pt", "Pt", "Pt", "Pt", "Pt", "Pt", "Cr"], "frac_coords": [[0.000, 0.000, 0.324], [0.000, 0.000, 0.676], [0.500, 0.000, 0.159], [0.000, 0.500, 0.841], [0.500, 0.500, 0.671], [0.500, 0.000, 0.500], [0.500, 0.500, 0.329], [0.000, 0.500, 0.159], [0.500, 0.000, 0.841], [0.000, 0.500, 0.500], [0.500, 0.500, 0.000], [0.000, 0.000, 0.000]]}

***

Record 4
{"formula": "VCr2Pt", "functional": "PBE", "state": "optimized geometry", "m_tot_mub_per_fu": 3.0, "vol_a3_per_cell": 54.8, "mass_density_g_cm3": 10.6, "ef_ev_per_atom": -0.0480, "lattice": [[0.716, -0.593, 4.160], [-2.562, 1.814, 2.883], [-2.663, -2.407, 2.299]], "species": ["Cr", "Cr", "V", "Pt"], "frac_coords": [[0.750, 0.750, 0.750], [0.250, 0.250, 0.250], [0.000, 0.000, 0.000], [0.500, 0.500, 0.500]]}

***

Record 5
{"formula": "VCrPt14", "functional": "PBE", "state": "optimized geometry", "m_tot_mub_per_fu": 2.3, "vol_a3_per_cell": 244.7, "mass_density_g_cm3": 19.2, "ef_ev_per_atom": -0.2194, "lattice": [[5.588, -0.012, 0.000], [0.012, 5.588, 0.000], [0.000, 0.000, 7.837]], "species": ["Pt", "Pt", "Pt", "Pt", "Pt", "Pt", "Pt", "Pt", "Pt", "Pt", "Pt", "Pt", "Pt", "Pt", "Cr", "V"], "frac_coords": [[0.124, 0.124, 0.740], [0.626, 0.626, 0.740], [0.375, 0.875, 0.500], [0.875, 0.375, 0.500], [0.375, 0.375, 0.000], [0.626, 0.626, 0.260], [0.626, 0.124, 0.260], [0.124, 0.626, 0.260], [0.375, 0.875, 0.000], [0.124, 0.626, 0.740], [0.875, 0.875, 0.000], [0.626, 0.124, 0.740], [0.875, 0.375, 0.000], [0.124, 0.124, 0.260], [0.375, 0.375, 0.500], [0.875, 0.875, 0.500]]}

***

Record 6
{"formula": "V4Cr2Pt", "functional": "PBE", "state": "optimized geometry", "m_tot_mub_per_fu": 1.6, "vol_a3_per_cell": 127.4, "mass_density_g_cm3": 6.6, "ef_ev_per_atom": 1.1460, "lattice": [[4.636, 0.000, 0.000], [0.000, 4.636, 0.000], [2.318, 2.318, 5.927]], "species": ["V", "V", "V", "V", "Pt", "Cr", "Cr"], "frac_coords": [[0.211, 0.211, 0.578], [0.789, 0.789, 0.422], [0.000, 0.500, 0.000], [0.500, 0.000, 0.000], [0.000, 0.000, 0.000], [0.384, 0.384, 0.233], [0.616, 0.616, 0.767]]}

***

no.,DFT total energy (eV per cell)
1,-55.5
2,-82.5
3,-93.4
4,-34.6
5,-106.8
6,-53.7